No. 1
! AsP2HBr (PBE-GGA, optimized geometry); values from VASP
&SYSTEM
  ibrav = 0, nat = 5, ntyp = 4
/
ATOMIC_SPECIES
As 74.92 As.upf
P 30.97 P.upf
H 1.01 H.upf
Br 79.90 Br.upf
ATOMIC_POSITIONS angstrom
As 0.0000 0.0000 0.0000
P 0.0000 2.6103 1.6339
P 2.6103 0.0000 1.6339
H 2.6103 2.6103 0.0000
Br 2.6103 2.6103 1.6339
CELL_PARAMETERS angstrom
5.2207 0.0000 0.0000
0.0000 5.2207 0.0000
0.0000 0.0000 3.2678
! Total energy, eV/atom: -3.043

=====

No. 2
! AsHPtBr2 (PBE-GGA, optimized geometry); values from VASP
&SYSTEM
  ibrav = 0, nat = 5, ntyp = 4
/
ATOMIC_SPECIES
As 74.92 As.upf
H 1.01 H.upf
Pt 195.08 Pt.upf
Br 79.90 Br.upf
ATOMIC_POSITIONS angstrom
As 0.0000 0.0000 0.0000
H 2.7015 2.7015 0.0000
Pt 0.0000 0.0000 2.3324
Br 0.0000 2.7015 2.3324
Br 2.7015 0.0000 2.3324
CELL_PARAMETERS angstrom
5.4029 0.0000 0.0000
0.0000 5.4029 0.0000
0.0000 0.0000 4.6648
! Energy relative to the lowest polymorph listed for this composition, meV/atom: 0

=====

No. 3
! As2HPtBr (PBE-GGA, optimized geometry); values from VASP
&SYSTEM
  ibrav = 0, nat = 5, ntyp = 4
/
ATOMIC_SPECIES
As 74.92 As.upf
H 1.01 H.upf
Pt 195.08 Pt.upf
Br 79.90 Br.upf
ATOMIC_POSITIONS angstrom
As 0.0000 2.0075 0.0000
As 2.0075 0.0000 0.0000
H 0.0000 0.0000 0.0000
Pt 2.0075 2.0075 2.5253
Br 0.0000 0.0000 2.5253
CELL_PARAMETERS angstrom
4.0150 0.0000 0.0000
0.0000 4.0150 0.0000
0.0000 0.0000 5.0506
! Energy relative to the lowest polymorph listed for this composition, meV/atom: 0

=====

No. 4
! As2HPtBr (PBE-GGA, optimized geometry); values from VASP
&SYSTEM
  ibrav = 0, nat = 5, ntyp = 4
/
ATOMIC_SPECIES
As 74.92 As.upf
H 1.01 H.upf
Pt 195.08 Pt.upf
Br 79.90 Br.upf
ATOMIC_POSITIONS angstrom
As 0.0000 2.4173 0.0000
As 2.4173 0.0000 0.0000
H 0.0000 0.0000 2.7994
Pt 2.4173 2.4173 0.0000
Br 2.4173 2.4173 2.7994
CELL_PARAMETERS angstrom
4.8346 0.0000 0.0000
0.0000 4.8346 0.0000
0.0000 0.0000 5.5987
! Energy relative to the lowest polymorph listed for this composition, meV/atom: 104

=====

No. 5
! AsHPtBr2 (PBE-GGA, optimized geometry); values from VASP
&SYSTEM
  ibrav = 0, nat = 5, ntyp = 4
/
ATOMIC_SPECIES
As 74.92 As.upf
H 1.01 H.upf
Pt 195.08 Pt.upf
Br 79.90 Br.upf
ATOMIC_POSITIONS angstrom
As 0.0000 0.0000 0.0000
H 0.0000 0.0000 1.7348
Pt 2.5301 2.5301 0.0000
Br 0.0000 2.5301 1.7348
Br 2.5301 0.0000 1.7348
CELL_PARAMETERS angstrom
5.0602 0.0000 0.0000
0.0000 5.0602 0.0000
0.0000 0.0000 3.4696
! Energy relative to the lowest polymorph listed for this composition, meV/atom: 181

=====

No. 6
! RbAs2HBr (PBE-GGA, optimized geometry); values from VASP
&SYSTEM
  ibrav = 0, nat = 5, ntyp = 4
/
ATOMIC_SPECIES
Rb 85.47 Rb.upf
As 74.92 As.upf
H 1.01 H.upf
Br 79.90 Br.upf
ATOMIC_POSITIONS angstrom
Rb 0.0000 0.0000 0.0000
As 0.0000 3.9841 0.0000
As 3.9841 0.0000 0.0000
H 3.9841 3.9841 3.1753
Br 0.0000 0.0000 3.1753
CELL_PARAMETERS angstrom
7.9682 0.0000 0.0000
0.0000 7.9682 0.0000
0.0000 0.0000 6.3505
! Energy relative to the lowest polymorph listed for this composition, meV/atom: 1005

=====

No. 7
! RbAs2HBr (PBE-GGA, optimized geometry); values from VASP
&SYSTEM
  ibrav = 0, nat = 5, ntyp = 4
/
ATOMIC_SPECIES
Rb 85.47 Rb.upf
As 74.92 As.upf
H 1.01 H.upf
Br 79.90 Br.upf
ATOMIC_POSITIONS angstrom
Rb 0.0000 0.0000 0.0000
As 0.0000 2.1332 3.8857
As 2.1332 0.0000 3.8857
H 2.1332 2.1332 3.8857
Br 2.1332 2.1332 0.0000
CELL_PARAMETERS angstrom
4.2663 0.0000 0.0000
0.0000 4.2663 0.0000
0.0000 0.0000 7.7714
! Energy relative to the lowest polymorph listed for this composition, meV/atom: 0

=====

No. 8
! ReAsHBr2 (PBE-GGA, optimized geometry); values from VASP
&SYSTEM
  ibrav = 0, nat = 5, ntyp = 4
/
ATOMIC_SPECIES
Re 186.21 Re.upf
As 74.92 As.upf
H 1.01 H.upf
Br 79.90 Br.upf
ATOMIC_POSITIONS angstrom
Re 0.0000 0.0000 0.0000
As 2.4352 2.4352 0.0000
H 2.4352 2.4352 1.7016
Br 0.0000 2.4352 1.7016
Br 2.4352 0.0000 1.7016
CELL_PARAMETERS angstrom
4.8703 0.0000 0.0000
0.0000 4.8703 0.0000
0.0000 0.0000 3.4032
! Energy relative to the lowest polymorph listed for this composition, meV/atom: 466

=====

No. 9
! ReAsHBr2 (PBE-GGA, optimized geometry); values from VASP
&SYSTEM
  ibrav = 0, nat = 5, ntyp = 4
/
ATOMIC_SPECIES
Re 186.21 Re.upf
As 74.92 As.upf
H 1.01 H.upf
Br 79.90 Br.upf
ATOMIC_POSITIONS angstrom
Re 0.0000 0.0000 0.0000
As 0.0000 0.0000 2.3690
H 2.6375 2.6375 2.3690
Br 0.0000 2.6375 0.0000
Br 2.6375 0.0000 0.0000
CELL_PARAMETERS angstrom
5.2750 0.0000 0.0000
0.0000 5.2750 0.0000
0.0000 0.0000 4.7380
! Energy relative to the lowest polymorph listed for this composition, meV/atom: 0

=====

No. 10
! As2HSBr (PBE-GGA, optimized geometry); values from VASP
&SYSTEM
  ibrav = 0, nat = 5, ntyp = 4
/
ATOMIC_SPECIES
As 74.92 As.upf
H 1.01 H.upf
S 32.06 S.upf
Br 79.90 Br.upf
ATOMIC_POSITIONS angstrom
As 0.0000 2.3263 0.0000
As 2.3263 0.0000 0.0000
H 0.0000 0.0000 0.0000
S 2.3263 2.3263 1.9464
Br 0.0000 0.0000 1.9464
CELL_PARAMETERS angstrom
4.6526 0.0000 0.0000
0.0000 4.6526 0.0000
0.0000 0.0000 3.8928
! Energy relative to the lowest polymorph listed for this composition, meV/atom: 0

=====

No. 11
! As2HSBr (PBE-GGA, optimized geometry); values from VASP
&SYSTEM
  ibrav = 0, nat = 5, ntyp = 4
/
ATOMIC_SPECIES
As 74.92 As.upf
H 1.01 H.upf
S 32.06 S.upf
Br 79.90 Br.upf
ATOMIC_POSITIONS angstrom
As 0.0000 2.4791 0.0000
As 2.4791 0.0000 0.0000
H 0.0000 0.0000 2.6582
S 2.4791 2.4791 0.0000
Br 2.4791 2.4791 2.6582
CELL_PARAMETERS angstrom
4.9582 0.0000 0.0000
0.0000 4.9582 0.0000
0.0000 0.0000 5.3165
! Energy relative to the lowest polymorph listed for this composition, meV/atom: 241

=====

No. 12
! AsH2SBr (PBE-GGA, optimized geometry); values from VASP
&SYSTEM
  ibrav = 0, nat = 5, ntyp = 4
/
ATOMIC_SPECIES
As 74.92 As.upf
H 1.01 H.upf
S 32.06 S.upf
Br 79.90 Br.upf
ATOMIC_POSITIONS angstrom
As 0.0000 0.0000 0.0000
H 0.0000 1.8984 2.6404
H 1.8984 0.0000 2.6404
S 0.0000 0.0000 2.6404
Br 1.8984 1.8984 0.0000
CELL_PARAMETERS angstrom
3.7968 0.0000 0.0000
0.0000 3.7968 0.0000
0.0000 0.0000 5.2807
! Total energy, eV/atom: -3.008

=====

| no. | calculated density (g/cm³) |
| --- | --- |
| 1 | 4.060 |
| 2 | 5.253 |
| 3 | 8.685 |
| 4 | 5.404 |
| 5 | 8.052 |
| 6 | 1.302 |
| 7 | 3.712 |
| 8 | 8.680 |
| 9 | 5.314 |
| 10 | 5.179 |
| 11 | 3.339 |
| 12 | 4.121 |